Computed, not measured: a geometry-optimized NiP3O9 structure at the PBE+U level of DFT.

crystal system	orthorhombic
total magnetic moment	2.99	μB per formula unit
uncorrected energy	-6.686	eV/atom

CIF file:
```
data_NiP3O9
_symmetry_space_group_name_H-M 'P 1'
_symmetry_Int_Tables_number 1
_symmetry_space_group_name_Hall 'P 1'
_cell_length_a 6.355
_cell_length_b 10.834
_cell_length_c 9.770
_cell_angle_alpha 90.00
_cell_angle_beta 90.00
_cell_angle_gamma 90.00
loop_
_atom_site_label
_atom_site_type_symbol
_atom_site_fract_x
_atom_site_fract_y
_atom_site_fract_z
Ni1 Ni 0.000 0.000 0.000
Ni2 Ni 0.000 0.500 0.500
Ni3 Ni 0.500 0.000 0.500
Ni4 Ni 0.500 0.500 0.000
P1 P 0.138 0.133 0.290
P2 P 0.138 0.367 0.790
P3 P 0.250 0.750 0.076
P4 P 0.250 0.750 0.576
P5 P 0.362 0.133 0.790
P6 P 0.362 0.367 0.290
P7 P 0.638 0.633 0.710
P8 P 0.638 0.867 0.210
P9 P 0.750 0.250 0.424
P10 P 0.750 0.250 0.924
P11 P 0.862 0.633 0.210
P12 P 0.862 0.867 0.710
O1 O 0.091 0.691 0.182
O2 O 0.091 0.809 0.682
O3 O 0.112 0.032 0.186
O4 O 0.112 0.468 0.686
O5 O 0.155 0.651 0.488
O6 O 0.155 0.849 0.988
O7 O 0.245 0.098 0.421
O8 O 0.245 0.402 0.921
O9 O 0.250 0.250 0.217
O10 O 0.250 0.250 0.717
O11 O 0.255 0.098 0.921
O12 O 0.255 0.402 0.421
O13 O 0.345 0.651 0.988
O14 O 0.345 0.849 0.488
O15 O 0.388 0.032 0.686
O16 O 0.388 0.468 0.186
O17 O 0.409 0.691 0.682
O18 O 0.409 0.809 0.182
O19 O 0.591 0.191 0.818
O20 O 0.591 0.309 0.318
O21 O 0.612 0.532 0.814
O22 O 0.612 0.968 0.314
O23 O 0.655 0.151 0.512
O24 O 0.655 0.349 0.012
O25 O 0.745 0.598 0.579
O26 O 0.745 0.902 0.079
O27 O 0.750 0.750 0.283
O28 O 0.750 0.750 0.783
O29 O 0.755 0.598 0.079
O30 O 0.755 0.902 0.579
O31 O 0.845 0.151 0.012
O32 O 0.845 0.349 0.512
O33 O 0.888 0.532 0.314
O34 O 0.888 0.968 0.814
O35 O 0.909 0.191 0.318
O36 O 0.909 0.309 0.818
```